1.
The following is a SCAN calculation of BeB2Se at its PBEsol-relaxed geometry, from the Alexandria database.

```
data_BeB2Se
_symmetry_space_group_name_H-M 'I -4 2 d'
_symmetry_Int_Tables_number 122
_symmetry_space_group_name_Hall 'I -4 2bw'
_cell_length_a 4.769
_cell_length_b 4.769
_cell_length_c 8.578
_cell_angle_alpha 90.00
_cell_angle_beta 90.00
_cell_angle_gamma 90.00
loop_
_atom_site_label
_atom_site_type_symbol
_atom_site_fract_x
_atom_site_fract_y
_atom_site_fract_z
Be1 Be 0.000 0.000 0.000
B1 B 0.235 0.750 0.125
Se1 Se 0.000 0.000 0.500
```

Results
- Raw formation energy: 0.798 eV/atom
- Calculated volume: 195.1 Å³/cell
- Total moment: 0.00 μB per cell


2.
The following is a SCAN calculation of BeBSe2 at its PBEsol-relaxed geometry, from the Alexandria database.

```
data_BeBSe2
_symmetry_space_group_name_H-M 'I -4 2 d'
_symmetry_Int_Tables_number 122
_symmetry_space_group_name_Hall 'I -4 2bw'
_cell_length_a 4.975
_cell_length_b 4.975
_cell_length_c 10.034
_cell_angle_alpha 90.00
_cell_angle_beta 90.00
_cell_angle_gamma 90.00
loop_
_atom_site_label
_atom_site_type_symbol
_atom_site_fract_x
_atom_site_fract_y
_atom_site_fract_z
Be1 Be 0.000 0.000 0.000
B1 B 0.000 0.000 0.500
Se1 Se 0.234 0.250 0.625
```

Results
- Raw formation energy: 0.072 eV/atom
- ΔE to the lowest computed polymorph: 0 meV per atom
- Calculated volume: 248.4 Å³/cell
- Total moment: 0.00 μB per cell


3.
The following is a SCAN calculation of BeBSe2 at its PBEsol-relaxed geometry, from the Alexandria database.

```
data_BeBSe2
_symmetry_space_group_name_H-M 'F m -3 m'
_symmetry_Int_Tables_number 225
_symmetry_space_group_name_Hall '-F 4 2 3'
_cell_length_a 6.058
_cell_length_b 6.058
_cell_length_c 6.058
_cell_angle_alpha 90.00
_cell_angle_beta 90.00
_cell_angle_gamma 90.00
loop_
_atom_site_label
_atom_site_type_symbol
_atom_site_fract_x
_atom_site_fract_y
_atom_site_fract_z
Be1 Be 0.000 0.000 0.000
B1 B 0.000 0.000 0.500
Se1 Se 0.250 0.250 0.250
```

Results
- Raw formation energy: 1.204 eV/atom
- ΔE to the lowest computed polymorph: 1132 meV per atom
- Calculated volume: 222.3 Å³/cell
- Total moment: 0.00 μB per cell


4.
The following is a SCAN calculation of BeB2Te at its PBEsol-relaxed geometry, from the Alexandria database.

```
data_BeB2Te
_symmetry_space_group_name_H-M 'F m -3 m'
_symmetry_Int_Tables_number 225
_symmetry_space_group_name_Hall '-F 4 2 3'
_cell_length_a 5.815
_cell_length_b 5.815
_cell_length_c 5.815
_cell_angle_alpha 90.00
_cell_angle_beta 90.00
_cell_angle_gamma 90.00
loop_
_atom_site_label
_atom_site_type_symbol
_atom_site_fract_x
_atom_site_fract_y
_atom_site_fract_z
Be1 Be 0.000 0.000 0.000
B1 B 0.250 0.250 0.250
Te1 Te 0.000 0.000 0.500
```

Results
- Raw formation energy: 1.760 eV/atom
- Calculated volume: 196.7 Å³/cell
- Total moment: 0.00 μB per cell


The records above give, respectively, total energy values of -0.663 -0.949 -0.866 -0.908 Ry per atom.